Entry from the Alexandria database: Pm2InPb9 after structural relaxation (PBE).

Cell lengths 4.839, 4.839, 15.419 Å; angles 90.00, 90.00, 90.00 degrees
Space group P4/mmm (No. 123)
Symmetry-distinct sites (fractional):
Pm: 0.000 0.000 0.154 (multiplicity 2)
In: 0.000 0.000 0.500 (multiplicity 1)
Pb: 0.000 0.500 0.000 (multiplicity 2)
Pb: 0.000 0.500 0.332 (multiplicity 4)
Pb: 0.500 0.500 0.170 (multiplicity 2)
Pb: 0.500 0.500 0.500 (multiplicity 1)

Calculated values
formation energy: -0.226 eV/atom

Entry from the Alexandria database: Pm4InPb after structural relaxation (PBE).

Cell lengths 5.325, 5.325, 7.519 Å; angles 90.00, 90.00, 90.00 degrees
Space group P4/mmm (No. 123)
Symmetry-distinct sites (fractional):
Pm: 0.000 0.500 0.243 (multiplicity 4)
In: 0.000 0.000 0.000 (multiplicity 1)
Pb: 0.500 0.500 0.500 (multiplicity 1)

Calculated values
formation energy: -0.188 eV/atom